# Y3PtBr GGA-PBEsol relaxed
data_Y3PtBr
_cell_length_a 5.1131
_cell_length_b 5.1131
_cell_length_c 5.1131
_cell_angle_alpha 90.00
_cell_angle_beta 90.00
_cell_angle_gamma 90.00
_symmetry_space_group_name_H-M 'P m -3 m'
_symmetry_Int_Tables_number 221
_symmetry_space_group_name_Hall '-P 4 2 3'
loop_
_atom_site_label
_atom_site_type_symbol
_atom_site_fract_x
_atom_site_fract_y
_atom_site_fract_z
Y1 Y 0.0000 0.0000 0.5000
Pt1 Pt 0.5000 0.5000 0.5000
Br1 Br 0.0000 0.0000 0.0000
# DFT total energy ... -29.83 eV/f.u.
# Fermi-level density of states ... 4.687 states/eV/cell
# V ... 133.7 Å³ per cell

# CaHgIrN2 GGA-PBEsol relaxed
data_CaHgIrN2
_cell_length_a 4.2051
_cell_length_b 4.2051
_cell_length_c 5.7105
_cell_angle_alpha 90.00
_cell_angle_beta 90.00
_cell_angle_gamma 90.00
_symmetry_space_group_name_H-M 'P 4/m m m'
_symmetry_Int_Tables_number 123
_symmetry_space_group_name_Hall '-P 4 2'
loop_
_atom_site_label
_atom_site_type_symbol
_atom_site_fract_x
_atom_site_fract_y
_atom_site_fract_z
Ca1 Ca 0.0000 0.0000 0.0000
Hg1 Hg 0.0000 0.0000 0.5000
Ir1 Ir 0.5000 0.5000 0.5000
N1 N 0.0000 0.5000 0.0000
# DFT total energy ... -18.67 eV/f.u.
# Fermi-level density of states ... 5.624 states/eV/cell
# V ... 101.0 Å³ per cell

# La2AlRh GGA-PBEsol relaxed
data_La2AlRh
_cell_length_a 3.8378
_cell_length_b 3.7538
_cell_length_c 6.7314
_cell_angle_alpha 90.00
_cell_angle_beta 96.45
_cell_angle_gamma 90.00
_symmetry_space_group_name_H-M 'P 1 2/m 1'
_symmetry_Int_Tables_number 10
loop_
_symmetry_equiv_pos_as_xyz
'x,y,z'
'-x,-y,-z'
'-x,y,-z'
'x,-y,z'
loop_
_atom_site_label
_atom_site_type_symbol
_atom_site_fract_x
_atom_site_fract_y
_atom_site_fract_z
La1 La 0.0665 0.0000 0.2705
Al1 Al 0.5000 0.5000 0.0000
Rh1 Rh 0.5000 0.5000 0.5000
# DFT total energy ... -24.69 eV/f.u.
# Fermi-level density of states ... 2.766 states/eV/cell
# V ... 96.4 Å³ per cell
# E_form ... -0.4420 eV per atom

# YTeMo2 GGA-PBEsol relaxed
data_YTeMo2
_cell_length_a 3.2791
_cell_length_b 3.2791
_cell_length_c 7.5487
_cell_angle_alpha 90.00
_cell_angle_beta 90.00
_cell_angle_gamma 90.00
_symmetry_space_group_name_H-M 'P 4 m m'
_symmetry_Int_Tables_number 99
loop_
_symmetry_equiv_pos_as_xyz
'x,y,z'
'-y,x,z'
'-x,-y,z'
'y,-x,z'
'-x,y,z'
'y,x,z'
'x,-y,z'
'-y,-x,z'
loop_
_atom_site_label
_atom_site_type_symbol
_atom_site_fract_x
_atom_site_fract_y
_atom_site_fract_z
Y1 Y 0.0000 0.0000 0.0000
Te1 Te 0.5000 0.5000 0.6654
Mo1 Mo 0.0000 0.0000 0.4405
Mo2 Mo 0.5000 0.5000 0.2616
# DFT total energy ... -33.77 eV/f.u.
# Fermi-level density of states ... 4.224 states/eV/cell
# V ... 81.2 Å³ per cell

# Sc2HgCl GGA-PBEsol relaxed
data_Sc2HgCl
_cell_length_a 3.3818
_cell_length_b 3.4170
_cell_length_c 7.2828
_cell_angle_alpha 90.00
_cell_angle_beta 90.00
_cell_angle_gamma 90.00
_symmetry_space_group_name_H-M 'P m m m'
_symmetry_Int_Tables_number 47
loop_
_symmetry_equiv_pos_as_xyz
'x,y,z'
'-x,-y,-z'
'-x,-y,z'
'x,y,-z'
'x,-y,-z'
'-x,y,z'
'-x,y,-z'
'x,-y,z'
loop_
_atom_site_label
_atom_site_type_symbol
_atom_site_fract_x
_atom_site_fract_y
_atom_site_fract_z
Sc1 Sc 0.0000 0.0000 0.2393
Hg1 Hg 0.5000 0.5000 0.0000
Cl1 Cl 0.5000 0.0000 0.5000
# DFT total energy ... -19.12 eV/f.u.
# Fermi-level density of states ... 3.757 states/eV/cell
# V ... 84.2 Å³ per cell

# LiVO2F2 GGA-PBEsol relaxed
data_LiVO2F2
_cell_length_a 6.1357
_cell_length_b 3.4776
_cell_length_c 6.5849
_cell_angle_alpha 90.00
_cell_angle_beta 111.24
_cell_angle_gamma 90.00
_symmetry_space_group_name_H-M 'P 1 21 1'
_symmetry_Int_Tables_number 4
loop_
_symmetry_equiv_pos_as_xyz
'x,y,z'
'-x,y+1/2,-z'
loop_
_atom_site_label
_atom_site_type_symbol
_atom_site_fract_x
_atom_site_fract_y
_atom_site_fract_z
Li1 Li 0.1614 0.0000 0.2005
V1 V 0.3509 0.9949 0.7693
O1 O 0.1955 0.9960 0.5158
O2 O 0.4026 0.5031 0.8498
F1 F 0.1092 0.0089 0.8860
F2 F 0.3527 0.5068 0.2522
# DFT total energy ... -41.70 eV/f.u.
# Fermi-level density of states ... 0.000 states/eV/cell
# V ... 131.0 Å³ per cell
# Polymorph energy (0 for the lowest one) ... 0.0 meV/atom

Copy entry 6 word for word.
# LiVO2F2 GGA-PBEsol relaxed
data_LiVO2F2
_cell_length_a 6.1357
_cell_length_b 3.4776
_cell_length_c 6.5849
_cell_angle_alpha 90.00
_cell_angle_beta 111.24
_cell_angle_gamma 90.00
_symmetry_space_group_name_H-M 'P 1 21 1'
_symmetry_Int_Tables_number 4
loop_
_symmetry_equiv_pos_as_xyz
'x,y,z'
'-x,y+1/2,-z'
loop_
_atom_site_label
_atom_site_type_symbol
_atom_site_fract_x
_atom_site_fract_y
_atom_site_fract_z
Li1 Li 0.1614 0.0000 0.2005
V1 V 0.3509 0.9949 0.7693
O1 O 0.1955 0.9960 0.5158
O2 O 0.4026 0.5031 0.8498
F1 F 0.1092 0.0089 0.8860
F2 F 0.3527 0.5068 0.2522
# DFT total energy ... -41.70 eV/f.u.
# Fermi-level density of states ... 0.000 states/eV/cell
# V ... 131.0 Å³ per cell
# Polymorph energy (0 for the lowest one) ... 0.0 meV/atom

- Number 4 is which compound?
  YTeMo2